Entry from OQMD: CdCuSn2 after structural relaxation (PBE).

Space group: F-43m, No. 216
Raw total energy in eV/atom: -2.904

```
CdCuSn2
1.0
1.707 -3.252 3.441
-0.751 0.892 4.896
-3.239 -2.836 2.607
Sn Cd Cu
2 1 1
Cartesian
0.000 0.000 0.000 Sn
-0.571 -1.299 2.736 Sn
-1.141 -2.599 5.472 Cd
-1.712 -3.898 8.208 Cu
```